No. 1
Below is an optimized crystal structure of Dy3Ho4Tm, with properties calculated at the PBE level.

The structure in extended XYZ format:
```
16
Lattice="11.1394 0.0000 0.0000 0.0000 7.2085 0.0000 0.0000 0.0000 6.2314" Properties=species:S:1:pos:R:3 pbc="T T T"
Dy 0.0000 0.9033 0.0000
Dy 2.7841 0.9011 2.0772
Dy 2.7856 6.3075 5.1929
Dy 5.5697 6.3052 3.1157
Dy 8.3553 0.9011 2.0772
Dy 8.3538 6.3075 5.1929
Ho 0.0000 2.7049 3.1228
Ho 0.0000 4.5035 6.2310
Ho 2.7759 4.5054 2.0798
Ho 2.7938 2.7032 5.1955
Ho 5.5697 2.7050 3.1153
Ho 5.5697 4.5037 0.0071
Ho 8.3456 2.7032 5.1955
Ho 8.3635 4.5054 2.0798
Tm 0.0000 6.3062 3.1159
Tm 5.5697 0.9024 0.0002
```

As for the space group: Pmn2_1 (31). The total energy comes out at -4.57 eV per atom. As for the offset from the most stable computed form: 0 meV/atom. As for the density of states at the Fermi level: 25.8 states/eV/cell. The formation energy from the elements comes out at 0.003 eV per atom.



No. 2
Below is an optimized crystal structure of DyHoTm, with properties calculated at the PBE level.

The structure in extended XYZ format:
```
6
Lattice="3.4367 0.0000 0.0000 0.0000 3.4496 0.0000 0.0000 0.0000 15.9313" Properties=species:S:1:pos:R:3 pbc="T T T"
Dy 0.8592 0.8624 1.2336
Dy 2.5775 2.5872 14.6978
Ho 0.8592 2.5872 4.2414
Ho 2.5775 0.8624 11.6899
Tm 0.8592 2.5872 9.2290
Tm 2.5775 0.8624 6.7023
```

As for the space group: Pmmn (59). The total energy comes out at -4.40 eV per atom. As for the offset from the most stable computed form: 141 meV/atom. As for the density of states at the Fermi level: 9.1 states/eV/cell. The formation energy from the elements comes out at 0.151 eV per atom.



No. 3
Below is an optimized crystal structure of Dy3Ho2Tm5, with properties calculated at the PBE level.

The structure in extended XYZ format:
```
20
Lattice="5.2700 -7.7500 0.0000 5.2700 7.7500 0.0000 -5.2685 0.0000 7.7313" Properties=species:S:1:pos:R:3 pbc="T T T"
Dy 1.3146 1.8945 0.3675
Dy 1.3186 4.1626 5.7985
Dy -1.3197 -1.8945 4.2331
Dy 6.5912 1.8945 3.4982
Dy 3.9529 -4.1626 1.9328
Dy 3.9570 -1.8945 7.3639
Ho 1.3165 1.8731 3.4927
Ho -1.3177 -1.8731 7.3584
Ho 6.5893 1.8731 0.3729
Ho 3.9550 -1.8731 4.2386
Tm 1.3186 7.3296 5.7985
Tm -1.3201 1.7739 5.8212
Tm 3.9529 3.5605 1.9328
Tm 1.3142 -1.7739 1.9555
Tm 3.9529 0.4210 1.9328
Tm 1.3186 -0.4210 5.7985
Tm 3.9574 1.7739 5.7758
Tm 1.3186 -3.5605 5.7985
Tm 6.5916 -1.7739 1.9101
Tm 3.9529 -7.3296 1.9328
```

As for the space group: C2/c (15). The total energy comes out at -4.33 eV per atom. As for the offset from the most stable computed form: 0 meV/atom. As for the density of states at the Fermi level: 34.4 states/eV/cell. The formation energy from the elements comes out at 0.204 eV per atom.



No. 4
Below is an optimized crystal structure of Dy2HoTm9, with properties calculated at the PBE level.

The structure in extended XYZ format:
```
12
Lattice="11.0415 0.0000 0.0000 -5.5207 9.5622 0.0000 0.0000 0.0000 3.4544" Properties=species:S:1:pos:R:3 pbc="T T T"
Dy 0.0000 6.3748 0.0000
Dy 5.5207 3.1874 0.0000
Ho 0.0000 0.0000 0.0000
Tm -2.7604 4.7811 0.0000
Tm 0.0000 3.3737 1.7272
Tm -2.5990 7.8753 1.7272
Tm 2.9217 1.6869 1.7272
Tm 5.5207 0.0000 0.0000
Tm 2.7604 4.7811 0.0000
Tm 2.5990 7.8753 1.7272
Tm 8.1197 1.6869 1.7272
Tm 5.5207 6.1885 1.7272
```

As for the space group: P6/mmm (191). The total energy comes out at -4.44 eV per atom. As for the offset from the most stable computed form: 34 meV/atom. As for the density of states at the Fermi level: 20.0 states/eV/cell. The formation energy from the elements comes out at 0.060 eV per atom.



No. 5
Below is an optimized crystal structure of Dy2Ho2Tm, with properties calculated at the PBE level.

The structure in extended XYZ format:
```
10
Lattice="9.1956 0.0000 0.0000 0.0000 9.1956 0.0000 0.0000 0.0000 3.6818" Properties=species:S:1:pos:R:3 pbc="T T T"
Dy 1.1767 3.4211 0.0000
Dy 3.4211 8.0189 0.0000
Dy 5.7745 1.1767 0.0000
Dy 8.0189 5.7745 0.0000
Ho 1.5717 6.1695 1.8409
Ho 3.0261 1.5717 1.8409
Ho 6.1695 7.6239 1.8409
Ho 7.6239 3.0261 1.8409
Tm 0.0000 0.0000 0.0000
Tm 4.5978 4.5978 0.0000
```

As for the space group: P4/mbm (127). The total energy comes out at -4.47 eV per atom. As for the offset from the most stable computed form: 0 meV/atom. As for the density of states at the Fermi level: 8.2 states/eV/cell. The formation energy from the elements comes out at 0.100 eV per atom.



No. 6
Below is an optimized crystal structure of Dy5Ho4Tm4, with properties calculated at the PBE level.

The structure in extended XYZ format:
```
13
Lattice="-6.3310 6.3310 2.4807 6.3310 -6.3310 2.4807 6.3310 6.3310 -2.4807" Properties=species:S:1:pos:R:3 pbc="T T T"
Dy 0.0000 0.0000 0.0000
Dy 6.8158 3.8836 0.0000
Dy 3.8836 5.8463 0.0000
Dy 2.4474 0.4847 2.4807
Dy -0.4847 2.4474 2.4807
Ho 9.7324 1.9514 0.0000
Ho 1.9514 2.9296 0.0000
Ho 4.3796 3.4014 2.4807
Ho -3.4014 4.3796 2.4807
Tm 4.8790 0.9672 0.0000
Tm 5.3638 -1.4520 2.4807
Tm 0.9672 7.7830 0.0000
Tm 1.4520 5.3638 2.4807
```

As for the space group: I4/m (87). The total energy comes out at -4.53 eV per atom. As for the density of states at the Fermi level: 17.3 states/eV/cell. The formation energy from the elements comes out at 0.021 eV per atom.



No. 7
Below is an optimized crystal structure of Dy4Ho4Tm, with properties calculated at the PBE level.

The structure in extended XYZ format:
```
9
Lattice="8.2457 -2.7290 0.0000 8.2457 2.7290 0.0000 -2.5105 0.0000 6.2603" Properties=species:S:1:pos:R:3 pbc="T T T"
Dy 1.0077 0.0000 2.9334
Dy 4.1221 0.0000 1.2975
Dy 9.8587 0.0000 4.9627
Dy 12.9731 0.0000 3.3269
Ho -0.9997 0.0000 5.5459
Ho 3.9887 0.0000 4.9772
Ho 9.9921 0.0000 1.2831
Ho 14.9805 0.0000 0.7144
Tm 6.9904 0.0000 3.1301
```

As for the space group: C2/m (12). The total energy comes out at -4.47 eV per atom. As for the offset from the most stable computed form: 88 meV/atom. As for the density of states at the Fermi level: 15.3 states/eV/cell. The formation energy from the elements comes out at 0.109 eV per atom.



No. 8
Below is an optimized crystal structure of DyHo8Tm6, with properties calculated at the PBE level.

The structure in extended XYZ format:
```
15
Lattice="14.4513 -1.7638 0.0000 14.4513 1.7638 0.0000 -2.8551 0.0000 9.0143" Properties=species:S:1:pos:R:3 pbc="T T T"
Dy 0.0000 0.0000 0.0000
Ho 2.4264 0.0000 2.5090
Ho 3.1230 0.0000 8.1576
Ho 7.6933 0.0000 3.8670
Ho 12.2234 0.0000 6.0385
Ho 13.8240 0.0000 2.9758
Ho 18.3541 0.0000 5.1473
Ho 22.9245 0.0000 0.8567
Ho 23.6210 0.0000 6.5053
Tm 0.8252 0.0000 5.5985
Tm 6.2603 0.0000 6.9699
Tm 11.4505 0.0000 0.4686
Tm 14.5969 0.0000 8.5457
Tm 19.7871 0.0000 2.0444
Tm 25.2222 0.0000 3.4158
```

As for the space group: C2/m (12). The total energy comes out at -4.52 eV per atom. As for the offset from the most stable computed form: 0 meV/atom. As for the density of states at the Fermi level: 21.6 states/eV/cell. The formation energy from the elements comes out at 0.017 eV per atom.



No. 9
Below is an optimized crystal structure of Dy6HoTm12, with properties calculated at the PBE level.

The structure in extended XYZ format:
```
19
Lattice="6.0369 3.4854 4.7222 -6.0369 3.4854 4.7222 0.0000 -6.9708 4.7222" Properties=species:S:1:pos:R:3 pbc="T T T"
Dy -3.1616 0.8791 6.3640
Dy -2.3421 -2.2985 7.8026
Dy 0.8195 -3.1776 6.3640
Dy -0.8195 3.1776 7.8026
Dy 2.3421 2.2985 6.3640
Dy 3.1616 -0.8791 7.8026
Ho 0.0000 0.0000 7.0833
Tm -1.6172 -5.6595 6.0720
Tm -5.7099 -1.4292 8.0946
Tm -1.4487 -1.3412 4.2875
Tm -4.0926 4.2303 6.0720
Tm -0.4371 1.9252 4.2875
Tm 1.8858 -0.5840 4.2875
Tm -1.8859 0.5840 9.8790
Tm 0.4371 -1.9252 9.8790
Tm 4.0926 -4.2303 8.0945
Tm 1.4487 1.3412 9.8790
Tm 5.7099 1.4292 6.0720
Tm 1.6172 5.6595 8.0946
```

As for the space group: R-3 (148). The total energy comes out at -4.33 eV per atom. As for the offset from the most stable computed form: 0 meV/atom. As for the density of states at the Fermi level: 38.2 states/eV/cell. The formation energy from the elements comes out at 0.190 eV per atom.



No. 10
Below is an optimized crystal structure of DyHo4Tm, with properties calculated at the PBE level.

The structure in extended XYZ format:
```
6
Lattice="0.0000 4.5936 4.5936 4.5936 0.0000 4.5936 4.5936 4.5936 0.0000" Properties=species:S:1:pos:R:3 pbc="T T T"
Dy 0.0000 0.0000 0.0000
Ho 5.7421 3.4451 3.4451
Ho 3.4451 5.7421 3.4451
Ho 3.4451 3.4451 5.7421
Ho 5.7421 5.7421 5.7421
Tm 2.2968 2.2968 2.2968
```

As for the space group: F-43m (216). The total energy comes out at -4.30 eV per atom. As for the offset from the most stable computed form: 262 meV/atom. As for the density of states at the Fermi level: 9.7 states/eV/cell. The formation energy from the elements comes out at 0.266 eV per atom.



No. 11
Below is an optimized crystal structure of Dy5Ho12Tm2, with properties calculated at the PBE level.

The structure in extended XYZ format:
```
19
Lattice="7.6943 -4.5812 0.0000 7.6943 4.5812 0.0000 -0.3006 0.0000 8.5000" Properties=species:S:1:pos:R:3 pbc="T T T"
Dy 0.0000 0.0000 0.0000
Dy 3.5304 0.0000 0.6065
Dy 4.3921 0.0000 4.0720
Dy 10.6957 0.0000 4.4280
Dy 11.5575 0.0000 7.8934
Ho 5.3199 2.9318 2.2158
Ho 1.0461 0.0000 3.1828
Ho 5.4519 1.7607 7.0518
Ho 9.7679 2.9318 6.2842
Ho 9.6360 1.7607 1.4482
Ho 6.7659 0.0000 1.3896
Ho 8.3219 0.0000 7.1103
Ho 5.4519 -1.7607 7.0518
Ho 5.3199 -2.9318 2.2158
Ho 9.6360 -1.7607 1.4482
Ho 14.0418 0.0000 5.3172
Ho 9.7679 -2.9318 6.2842
Tm 7.5439 1.5806 4.2500
Tm 7.5439 -1.5806 4.2500
```

As for the space group: C2/m (12). The total energy comes out at -4.45 eV per atom. As for the offset from the most stable computed form: 36 meV/atom. As for the density of states at the Fermi level: 26.8 states/eV/cell. The formation energy from the elements comes out at 0.125 eV per atom.



No. 12
Below is an optimized crystal structure of DyHo4Tm4, with properties calculated at the PBE level.

The structure in extended XYZ format:
```
9
Lattice="-5.2579 5.2579 2.4727 5.2579 -5.2579 2.4727 5.2579 5.2579 -2.4727" Properties=species:S:1:pos:R:3 pbc="T T T"
Dy 0.0000 0.0000 0.0000
Ho 3.5021 3.5021 0.0000
Ho 1.7557 -1.7557 2.4727
Ho -1.7557 1.7557 2.4727
Ho 1.7557 1.7557 2.4727
Tm 3.5119 0.0000 0.0000
Tm 7.0039 0.0000 0.0000
Tm 0.0000 3.5119 0.0000
Tm 0.0000 7.0039 0.0000
```

As for the space group: I4/mmm (139). The total energy comes out at -4.51 eV per atom. As for the density of states at the Fermi level: 12.4 states/eV/cell. The formation energy from the elements comes out at 0.024 eV per atom.



Q: Number 9 is which compound?
A: Dy6HoTm12



Q: Which of these has the highest formation energy from the elements?
A: DyHo4Tm